(1)
# AlTe3P GGA-PBE optimized geometry
data_AlTe3P
_chemical_formula_sum 'Al1 Te3 P1'
_space_group_name_H-M_alt 'P 1'
_space_group_IT_number 1
_cell_length_a 5.276
_cell_length_b 5.276
_cell_length_c 5.276
_cell_angle_alpha 90.00
_cell_angle_beta 90.00
_cell_angle_gamma 90.00
loop_
_space_group_symop_operation_xyz
'x,y,z'
loop_
_atom_site_label
_atom_site_type_symbol
_atom_site_fract_x
_atom_site_fract_y
_atom_site_fract_z
_atom_site_occupancy
Al1 Al 0.000 0.000 0.000 1
Te1 Te 0.000 0.500 0.500 1
Te2 Te 0.500 0.000 0.500 1
Te3 Te 0.500 0.500 0.000 1
P1 P 0.500 0.500 0.500 1
# SG   Pm-3m, No. 221
# Formation energy from raw total energies   0.479 eV/atom

***

(2)
# ThMgRhAu GGA-PBE optimized geometry
data_ThMgRhAu
_chemical_formula_sum 'Th1 Mg1 Rh1 Au1'
_space_group_name_H-M_alt 'P 1'
_space_group_IT_number 1
_cell_length_a 4.936
_cell_length_b 4.936
_cell_length_c 4.936
_cell_angle_alpha 60.00
_cell_angle_beta 60.00
_cell_angle_gamma 60.00
loop_
_space_group_symop_operation_xyz
'x,y,z'
loop_
_atom_site_label
_atom_site_type_symbol
_atom_site_fract_x
_atom_site_fract_y
_atom_site_fract_z
_atom_site_occupancy
Th1 Th 0.000 0.000 0.000 1
Mg1 Mg 0.500 0.500 0.500 1
Rh1 Rh 0.750 0.750 0.750 1
Au1 Au 0.250 0.250 0.250 1
# SG   F-43m, No. 216
# Formation energy   -0.61 eV per atom

***

no.,magnetic moment (μB/f.u.),Fermi-level density of states (states/eV/cell)
1,0.00,4.42
2,0.00,3.30